No. 1
VASP calculation (meta-GGA SCAN) on NiHg3 at its PBEsol-relaxed geometry.

As for the offset from the most stable computed form: 0 meV per atom. The total energy comes out at -55.042 eV/atom.

The structure belongs to space group Immm (No. 71); the cell edges are 2.896, 4.410 and 12.335 Å and the angles 90.00°, 90.00° and 90.00°. The asymmetric unit holds Ni at (0.000, 0.000, 0.000), Hg at (0.000, 0.000, 0.500) and Hg at (0.000, 0.500, 0.317).

=====

No. 2
VASP calculation (meta-GGA SCAN) on NiHg3 at its PBEsol-relaxed geometry.

As for the offset from the most stable computed form: 241 meV per atom. The total energy comes out at -54.801 eV/atom.

The structure belongs to space group I4/mmm (No. 139); the cell edges are 4.104, 4.104 and 8.652 Å and the angles 90.00°, 90.00° and 90.00°. The asymmetric unit holds Ni at (0.000, 0.000, 0.000), Hg at (0.000, 0.000, 0.500) and Hg at (0.000, 0.500, 0.250).

=====

No. 3
VASP calculation (meta-GGA SCAN) on NiHg at its PBEsol-relaxed geometry.

The total energy comes out at -41.697 eV/atom.

The structure belongs to space group Fm-3m (No. 225); the cell edges are 5.131, 5.131 and 5.131 Å and the angles 90.00°, 90.00° and 90.00°. The asymmetric unit holds Ni at (0.000, 0.000, 0.000) and Hg at (0.000, 0.000, 0.500).

=====

| no. | calculated volume (Å³ per atom) | size of the total moment (μB per formula unit) | ΔH_f (0 K) (eV per atom) |
| --- | --- | --- | --- |
| 1 | 19.7 | 0.0 | 0.13 |
| 2 | 18.2 | 0.0 | 0.37 |
| 3 | 16.9 | 0.0 | 0.47 |